Record 1
{"formula": "RbBaScC2", "functional": "PBE-GGA", "state": "relaxed", "sg": "No. 123", "e_tot_ev_per_atom": -3.0115, "lattice": [[5.053, 0.000, 0.000], [0.000, 5.053, 0.000], [0.000, 0.000, 5.881]], "species": ["Rb", "Ba", "Sc", "C", "C"], "frac_coords": [[0.000, 0.000, 0.000], [0.000, 0.000, 0.500], [0.500, 0.500, 0.000], [0.000, 0.500, 0.500], [0.500, 0.000, 0.500]]}

Record 2
{"formula": "BaRe3C", "functional": "PBE-GGA", "state": "relaxed", "sg": "No. 221", "e_tot_ev_per_atom": -8.4338, "lattice": [[4.365, 0.000, 0.000], [0.000, 4.365, 0.000], [0.000, 0.000, 4.365]], "species": ["Ba", "Re", "Re", "Re", "C"], "frac_coords": [[0.000, 0.000, 0.000], [0.000, 0.500, 0.500], [0.500, 0.000, 0.500], [0.500, 0.500, 0.000], [0.500, 0.500, 0.500]]}

Record 3
{"formula": "BaReC3", "functional": "PBE-GGA", "state": "relaxed", "sg": "No. 221", "e_tot_ev_per_atom": -3.9623, "lattice": [[4.402, 0.000, 0.000], [0.000, 4.402, 0.000], [0.000, 0.000, 4.402]], "species": ["Ba", "Re", "C", "C", "C"], "frac_coords": [[0.000, 0.000, 0.000], [0.500, 0.500, 0.500], [0.000, 0.000, 0.500], [0.000, 0.500, 0.000], [0.500, 0.000, 0.000]]}

Record 4
{"formula": "Ba3ReC", "functional": "PBE-GGA", "state": "relaxed", "sg": "No. 221", "e_tot_ev_per_atom": -4.1374, "lattice": [[5.590, 0.000, 0.000], [0.000, 5.590, 0.000], [0.000, 0.000, 5.590]], "species": ["Ba", "Ba", "Ba", "Re", "C"], "frac_coords": [[0.000, 0.000, 0.500], [0.000, 0.500, 0.000], [0.500, 0.000, 0.000], [0.500, 0.500, 0.500], [0.000, 0.000, 0.000]]}

Record 5
{"formula": "BaRe2C", "functional": "PBE-GGA", "state": "relaxed", "sg": "No. 141", "e_tot_ev_per_atom": -8.0385, "lattice": [[-3.159, 3.159, 4.483], [3.159, -3.159, 4.483], [3.159, 3.159, -4.483]], "species": ["Ba", "Ba", "Re", "Re", "Re", "Re", "C", "C"], "frac_coords": [[0.375, 0.625, 0.750], [0.625, 0.375, 0.250], [0.000, 0.000, 0.000], [0.000, 0.000, 0.500], [0.000, 0.500, 0.000], [0.500, 0.000, 0.500], [0.125, 0.875, 0.250], [0.875, 0.125, 0.750]]}

Record 6
{"formula": "BaRe3C", "functional": "PBE-GGA", "state": "relaxed", "sg": "No. 221", "e_tot_ev_per_atom": -4.4322, "lattice": [[5.052, 0.000, 0.000], [0.000, 5.052, 0.000], [0.000, 0.000, 5.052]], "species": ["Ba", "Re", "Re", "Re", "C"], "frac_coords": [[0.000, 0.000, 0.000], [0.000, 0.000, 0.500], [0.000, 0.500, 0.000], [0.500, 0.000, 0.000], [0.500, 0.500, 0.500]]}